This record from Alexandria via LeMat-Bulk describes a geometry-optimized Tb4Pr2Er2Tm structure. The functional is PBE.

a b c (Å): 6.1829 6.1890 7.9890
angles (deg): 82.66 75.13 80.43
Last column: nearest neighbours and their distance in Å.
Space group P-1 (No. 2)
One atom of each set of equivalent atoms:
1 Tb 0.0563 0.1105 0.2797  4 Tb 3.55-3.58, 2 Tm 3.56-3.57, 3 Pr 3.56-3.60, 3 Er 3.56-3.59
2 Tb 0.2783 0.5537 0.3887  2 Er 3.55-3.58, 5 Tb 3.56-3.58, 2 Tm 3.56-3.58, 3 Pr 3.57
3 Pr 0.1675 0.3307 0.8321  1 Tm 3.56, 6 Tb 3.56-3.60, 4 Er 3.56-3.59, 1 Pr 3.61
4 Er 0.3911 0.7770 0.9438  5 Tb 3.55-3.59, 2 Er 3.56-3.57, 4 Pr 3.56-3.59, 1 Tm 3.57
5 Tm 0.5000 0.0000 0.5000  8 Tb 3.56-3.58, 2 Pr 3.56, 2 Er 3.57

Properties
The energy of formation is 16.2 kJ/mol of formula units. Its total magnetic moment is 0.0 μB/cell. The volume comes out at 32.24 A^3/atom. Its crystal system is triclinic.